w) # UPa3, relaxed, DFT GGA-PBE
# D(E_F): 19.5 states/eV per cell
# M_tot: 0.0 μB per cell
data_UPa3
_chemical_formula_sum 'U2 Pa6'
_cell_length_a 6.349
_cell_length_b 3.858
_cell_length_c 7.693
_cell_angle_alpha 90.00
_cell_angle_beta 91.68
_cell_angle_gamma 90.00
_space_group_name_H-M_alt 'P 1 21/m 1'
_space_group_IT_number 11
_space_group_name_Hall '-P 2yb'
loop_
_atom_site_label
_atom_site_fract_x
_atom_site_fract_y
_atom_site_fract_z
U1 0.094 0.250 0.099
Pa1 0.122 0.250 0.629
Pa2 0.370 0.750 0.371
Pa3 0.391 0.750 0.876


x) # UPa3, relaxed, DFT GGA-PBE
# D(E_F): 52.6 states/eV per cell
# M_tot: 7.4 μB per cell
data_UPa3
_chemical_formula_sum 'U4 Pa12'
_cell_length_a 7.223
_cell_length_b 7.223
_cell_length_c 7.223
_cell_angle_alpha 90.00
_cell_angle_beta 90.00
_cell_angle_gamma 90.00
_space_group_name_H-M_alt 'F m -3 m'
_space_group_IT_number 225
_space_group_name_Hall '-F 4 2 3'
loop_
_atom_site_label
_atom_site_fract_x
_atom_site_fract_y
_atom_site_fract_z
U1 0.000 0.000 0.000
Pa1 0.000 0.000 0.500
Pa2 0.250 0.250 0.250


Which is most stable? The ranking, best first, is w), x).